Record 1
Compound: LaSm4Dy2Tm
Source: Alexandria via LeMat-Bulk
Functional: PBE
Structure: optimized geometry Values from VASP.

Space-group type: C2/c, No. 15
Energy of formation from the pure elements: 0.40 eV/atom
DFT total energy: -4.290 eV per atom

Cell and atoms, written as Quantum ESPRESSO input:
```
&SYSTEM
  ibrav = 0, nat = 16, ntyp = 4
/
ATOMIC_SPECIES
Sm 150.36 Sm.upf
Dy 162.50 Dy.upf
Tm 168.93 Tm.upf
La 138.91 La.upf
CELL_PARAMETERS angstrom
9.397 -0.023 -1.685
-0.030 9.398 -1.686
-5.975 -5.979 8.274
ATOMIC_POSITIONS crystal
Sm 0.751 0.752 0.503
Sm 0.748 0.749 0.997
Sm 0.252 0.748 0.500
Sm 0.748 0.252 0.500
Sm 0.252 0.251 0.003
Sm 0.249 0.248 0.497
Sm 0.752 0.248 0.000
Sm 0.248 0.752 0.000
Dy 0.500 0.000 0.500
Dy 0.500 0.000 0.000
Dy 0.500 0.500 0.000
Dy 0.000 0.000 0.500
Tm 0.000 0.000 0.000
Tm 0.500 0.500 0.500
La 0.000 0.500 0.000
La 0.000 0.500 0.500
```


Record 2
Compound: AcHoSiHg
Source: Alexandria via LeMat-Bulk
Functional: PBE
Structure: optimized geometry Values from VASP.

Uncorrected formation energy: -1.485 eV/f.u.
Space-group type: F-43m, No. 216
DFT total energy: -3.974 eV per atom

Cell and atoms, written as Quantum ESPRESSO input:
```
&SYSTEM
  ibrav = 0, nat = 4, ntyp = 4
/
ATOMIC_SPECIES
Si 28.09 Si.upf
Hg 200.59 Hg.upf
Ho 164.93 Ho.upf
Ac 227.00 Ac.upf
CELL_PARAMETERS angstrom
5.356 0.000 0.000
2.678 4.638 0.000
2.678 1.546 4.373
ATOMIC_POSITIONS crystal
Si 0.750 0.750 0.750
Hg 0.250 0.250 0.250
Ho 0.000 0.000 0.000
Ac 0.500 0.500 0.500
```


The following M_tot values (in μB per formula unit) correspond, in order, to the records above: 0.0 0.0.
The following calculated density values (in g/cm³) correspond, in order, to the records above: 7.58 9.49.
The following volume values (in Å³/f.u.) correspond, in order, to the records above: 270.4 108.6.